Record 1
This record from Alexandria via LeMat-Bulk describes a relaxed structure of YSbRh2. The functional is PBE.

Properties
VASP energy (eV per atom): -6.985
Crystal system: monoclinic
Space-group type: Cm, No. 8

a b c (Å): 5.202 5.202 4.548
angles (deg): 76.36 76.36 40.04
Atoms (fractional coordinates):
1 Rh 0.009 0.009 0.951
2 Rh 0.234 0.234 0.322
3 Sb 0.508 0.508 0.422
4 Y 0.749 0.749 0.805

---

Record 2
This record from Alexandria via LeMat-Bulk describes a relaxed structure of CsPr2Cr2N6. The functional is PBE.

Properties
VASP energy (eV per atom): -7.758
Crystal system: monoclinic
Space-group type: C2/m, No. 12

a b c (Å): 6.743 6.623 6.916
angles (deg): 116.15 90.03 59.37
Last column: magnetic moment on the atom in μB.
Atoms (fractional coordinates):
1 Cs 0.500 0.000 0.500  0.00
2 Pr 0.816 0.368 0.799  0.00
3 Pr 0.184 0.632 0.201  0.00
4 Cr 0.113 0.773 0.820  -0.06
5 Cr 0.887 0.227 0.180  -0.06
6 N 0.385 0.639 0.870  0.12
7 N 0.024 0.361 0.130  0.12
8 N 0.077 0.846 0.609  0.08
9 N 0.976 0.639 0.870  0.12
10 N 0.923 0.154 0.391  0.08
11 N 0.615 0.361 0.130  0.12

---

Which of these has the highest VASP energy? YSbRh2

---

Copy entry 1 word for word.
This record from Alexandria via LeMat-Bulk describes a relaxed structure of YSbRh2. The functional is PBE.

Properties
VASP energy (eV per atom): -6.985
Crystal system: monoclinic
Space-group type: Cm, No. 8

a b c (Å): 5.202 5.202 4.548
angles (deg): 76.36 76.36 40.04
Atoms (fractional coordinates):
1 Rh 0.009 0.009 0.951
2 Rh 0.234 0.234 0.322
3 Sb 0.508 0.508 0.422
4 Y 0.749 0.749 0.805